Density functional theory data (PBE) for an optimized crystal structure of Th2Zn4CuAu3.

Unit cell a=4.192 b=4.192 c=11.378 alpha=90.00 beta=90.00 gamma=90.00
Fractional positions:
Th1 0.500 0.000 0.261
Th2 0.000 0.500 0.739
Zn1 0.500 0.500 0.000
Zn2 0.000 0.000 0.000
Zn3 0.500 0.000 0.627
Zn4 0.000 0.500 0.373
Cu1 0.500 0.500 0.500
Au1 0.000 0.000 0.500
Au2 0.500 0.000 0.854
Au3 0.000 0.500 0.146

## Properties
V in A^3/atom: 19.99
Energy relative to the elements in meV/atom: -384



Density functional theory data (PBE) for an optimized crystal structure of Si2RuPb.

Unit cell a=4.834 b=4.834 c=4.834 alpha=126.96 beta=126.96 gamma=78.32
Fractional positions:
Pb1 0.500 0.500 0.000
Ru1 0.750 0.250 0.500
Si1 0.000 0.000 0.000
Si2 0.250 0.750 0.500

## Properties
V in A^3/atom: 17.46
Formation energy from raw total energies in meV/atom: 638



Density functional theory data (PBE) for an optimized crystal structure of KSrLiCa2.

Unit cell a=6.182 b=6.182 c=6.377 alpha=90.00 beta=90.00 gamma=90.00
Fractional positions:
Sr1 0.000 0.000 0.500
Ca1 0.000 0.500 0.000
Ca2 0.500 0.000 0.000
K1 0.500 0.500 0.500
Li1 0.000 0.000 0.000

## Properties
V in A^3/atom: 48.75
Energy relative to the elements in meV/atom: 191



For reference, total energy by record: -37.7; -21.3; -7.7 eV for the cell shown.